Entry from the Alexandria database: an optimized crystal structure of Ba2SrHCl (PBE).

Raw total energy, eV/atom: -2.25

a = 7.4113 Å, b = 7.4113 Å, c = 4.3775 Å
α = 90.00°, β = 90.00°, γ = 90.00°
Closest atoms and distances in Å follow each position.
Space group P4/mmm (No. 123)
Asymmetric unit:
Ba1 0.0000 0.5000 0.0000  2 Sr 3.71
Sr1 0.0000 0.0000 0.0000  2 H 2.19
H1 0.0000 0.0000 0.5000  2 Sr 2.19
Cl1 0.5000 0.5000 0.5000  8 Ba 4.30, 2 Cl 4.38